Rb2MgTl6Sn | PBE | relaxed

It has space group P-1 (No. 2), with a = 7.7991 Å, b = 7.8079 Å, c = 8.1353 Å, α = 63.03°, β = 62.42° and γ = 61.45°. The asymmetric unit holds Rb at (0.1938, 0.1906, 0.4289), Mg at (0.0000, 0.0000, 0.0000), Tl at (0.1547, 0.6364, 0.8653), Tl at (0.3422, 0.1508, 0.8645), Tl at (0.3569, 0.6608, 0.1350) and Sn at (0.5000, 0.5000, 0.5000).

The calculation puts the total energy at -0.16057 Ry/atom. The calculation puts the energy relative to the elements at -1.1 kJ per mole of atoms. The crystal system is triclinic.

---

RbMg2Zn2Sn2 | PBE | relaxed

It has space group R-3m (No. 166, hexagonal axes), with a = 4.7324 Å, b = 4.7324 Å, c = 29.5678 Å, α = 90.00°, β = 90.00° and γ = 120.00°. The asymmetric unit holds Rb at (0.0000, 0.0000, 0.0000), Mg at (0.0000, 0.0000, 0.1403), Zn at (0.0000, 0.0000, 0.4524) and Sn at (0.0000, 0.0000, 0.2430).

The calculation puts the total energy at -0.16597 Ry/atom. The calculation puts the energy relative to the elements at -15.1 kJ per mole of atoms. The crystal system is trigonal.

---

RbSr3Mg | PBE | relaxed

It has space group Pm-3m (No. 221), with a = 6.8101 Å, b = 6.8101 Å, c = 6.8101 Å, α = 90.00°, β = 90.00° and γ = 90.00°. The asymmetric unit holds Rb at (0.0000, 0.0000, 0.0000), Sr at (0.0000, 0.0000, 0.5000) and Mg at (0.5000, 0.5000, 0.5000).

The calculation puts the total energy at -0.04521 Ry/atom. The calculation puts the energy relative to the elements at 87.5 kJ per mole of atoms. The crystal system is cubic.

---

RbSr2Mg2 | PBE | relaxed

It has space group P4/mbm (No. 127), with a = 10.5913 Å, b = 10.5913 Å, c = 3.9734 Å, α = 90.00°, β = 90.00° and γ = 90.00°. The asymmetric unit holds Rb at (0.0000, 0.0000, 0.0000), Sr at (0.1312, 0.3688, 0.0000) and Mg at (0.1595, 0.6595, 0.5000).

The calculation puts the total energy at -0.10242 Ry/atom. The calculation puts the energy relative to the elements at 10.7 kJ per mole of atoms. The crystal system is tetragonal.

---

RbSrMg14 | PBE | relaxed

It has space group Amm2 (No. 38), with a = 10.9141 Å, b = 6.5628 Å, c = 11.9585 Å, α = 90.00°, β = 90.00° and γ = 90.00°. The asymmetric unit holds Rb at (0.0000, 0.0000, 0.0000), Sr at (0.0000, 0.0000, 0.4979), Mg at (0.0000, 0.2491, 0.7503), Mg at (0.2533, 0.0000, 0.6783), Mg at (0.2586, 0.0000, 0.1814), Mg at (0.2766, 0.2485, 0.4199), Mg at (0.5000, 0.0000, 0.0153), Mg at (0.5000, 0.0000, 0.5159) and Mg at (0.5000, 0.2485, 0.7565).

The calculation puts the total energy at -0.10408 Ry/atom. The calculation puts the energy relative to the elements at 14.0 kJ per mole of atoms. The crystal system is orthorhombic.

---

RbSr2Mg | PBE | relaxed

It has space group P4/mmm (No. 123), with a = 4.2299 Å, b = 4.2299 Å, c = 11.6282 Å, α = 90.00°, β = 90.00° and γ = 90.00°. The asymmetric unit holds Rb at (0.0000, 0.0000, 0.0000), Sr at (0.5000, 0.5000, 0.3226) and Mg at (0.0000, 0.0000, 0.5000).

The calculation puts the total energy at -0.10538 Ry/atom. The calculation puts the energy relative to the elements at 4.6 kJ per mole of atoms. The crystal system is tetragonal.

---

RbSrMg14 | PBE | relaxed

It has space group P-6m2 (No. 187), with a = 6.8466 Å, b = 6.8466 Å, c = 10.7228 Å, α = 90.00°, β = 90.00° and γ = 120.00°. The asymmetric unit holds Rb at (0.0000, 0.0000, 0.0000), Sr at (0.0000, 0.0000, 0.5000), Mg at (0.0094, 0.5047, 0.0000), Mg at (0.0098, 0.5049, 0.5000), Mg at (0.1793, 0.3586, 0.2535) and Mg at (0.6667, 0.3333, 0.2506).

The calculation puts the total energy at -0.10452 Ry/atom. The calculation puts the energy relative to the elements at 13.4 kJ per mole of atoms. The crystal system is hexagonal.

---

RbSr2Mg | PBE | relaxed

It has space group R-3m (No. 166, hexagonal axes), with a = 4.2627 Å, b = 4.2627 Å, c = 41.7339 Å, α = 90.00°, β = 90.00° and γ = 120.00°. The asymmetric unit holds Rb at (0.0000, 0.0000, 0.0000), Sr at (0.0000, 0.0000, 0.1034) and Mg at (0.0000, 0.0000, 0.5000).

The calculation puts the total energy at -0.09650 Ry/atom. The calculation puts the energy relative to the elements at 16.3 kJ per mole of atoms. The crystal system is trigonal.